12
Lattice="-3.9611 -1.6953 -0.1779 2.1937 -5.4914 3.4850 -1.7420 3.3941 6.4447" Properties=species:S:1:pos:R:3 comment="ErGePt, relaxed, DFT GGA-PBEsol" magnetic_moment_mub_per_fu=0.000 formation_enthalpy_0k_mev_per_atom=-1177 pbc="T T T"
Ge -4.1423 0.7802 6.4011
Ge -2.4833 -3.0608 6.0637
Ge 0.6330 -4.5728 3.3508
Ge -1.0261 -0.7318 3.6881
Pt -2.8225 -2.5279 8.5396
Pt -3.3414 -0.9084 4.6586
Pt -0.1680 -2.8842 5.0932
Pt -0.6868 -1.2647 1.2123
Er -0.0282 -3.5118 7.9621
Er -2.2213 -3.3440 2.9294
Er -1.2880 -0.4486 6.8225
Er -3.4812 -0.2808 1.7898

8
Lattice="-2.4873 2.7618 -1.9625 -1.6636 -3.4055 1.8167 -0.9684 4.5239 7.5938" Properties=species:S:1:pos:R:3 comment="ErGeRh2, relaxed, DFT GGA-PBEsol" magnetic_moment_mub_per_fu=0.000 formation_enthalpy_0k_mev_per_atom=-813 pbc="T T T"
Ge 0.0000 0.0000 0.0000
Ge -0.4842 2.2620 3.7969
Rh -2.2884 1.0594 -0.1096
Rh -2.8309 2.8208 7.5576
Rh -2.4980 1.2656 4.9471
Rh -2.6213 2.6146 2.5009
Er -2.9390 4.0990 4.9926
Er -2.1803 -0.2188 2.4554

40
Lattice="-0.9479 -8.7657 -0.8652 8.4874 -0.6763 -2.4474 2.3556 -1.0907 8.4703" Properties=species:S:1:pos:R:3 comment="Er3Ge13Rh4, relaxed, DFT GGA-PBEsol" magnetic_moment_mub_per_fu=0.000 formation_enthalpy_0k_mev_per_atom=-594 pbc="T T T"
Er 6.0104 -1.1562 5.1290
Er 1.6479 -4.5519 -1.0444
Er 0.4668 -7.1196 3.5863
Er 4.8326 -0.6108 0.8939
Er 5.8916 -4.8901 -2.2681
Er 0.9408 -2.7368 4.0188
Ge 4.9475 -5.2663 2.5788
Ge 0.0000 0.0000 0.0000
Ge 3.4104 -7.8874 2.6688
Ge 5.5396 -6.8886 5.0805
Ge 2.6588 -5.2162 4.5788
Ge 6.4847 -2.6453 2.4889
Ge 4.3554 -3.6441 0.0771
Ge 7.2363 -5.3165 0.5789
Ge 5.8964 -8.0855 1.9519
Ge 4.0777 -6.2116 -0.1763
Ge 3.9987 -2.4472 3.2057
Ge 5.8173 -4.3211 5.3339
Ge 7.9262 -5.6360 3.0599
Ge 1.9688 -4.8967 2.0978
Ge 1.7164 -3.6511 6.9613
Ge 2.4949 -1.4936 -0.8862
Ge 2.8676 -0.8513 5.4834
Ge -0.3088 -6.2053 0.6438
Ge 5.0446 -7.9483 -2.4264
Ge 7.9754 -0.9157 0.5394
Ge 0.0508 -2.8798 0.9720
Ge 5.7149 -1.7502 -1.8147
Ge 1.3568 -6.9766 6.6331
Ge 1.8246 -7.6918 -1.4979
Ge 1.9740 -0.4375 2.2700
Ge 8.8690 -1.3295 3.7529
Rh 3.1776 -7.5614 5.0920
Rh 6.7175 -2.9713 0.0657
Rh 6.2435 -7.3542 -0.3669
Rh 3.6515 -3.1785 5.5246
Rh 7.8953 -3.5167 4.3008
Rh 1.9998 -7.0160 0.8568
Rh 2.4738 -2.6332 1.2894
Rh 7.4213 -7.8995 3.8683

17
Lattice="-1.5521 -5.8769 -3.7227 4.5730 -1.6316 5.2183 -5.9745 2.6699 2.8252" Properties=species:S:1:pos:R:3 comment="Er4Ge6Rh7, relaxed, DFT GGA-PBEsol" magnetic_moment_mub_per_fu=0.000 formation_enthalpy_0k_mev_per_atom=-999 pbc="T T T"
Er 2.2865 -0.8158 2.6091
Er -2.9873 1.3350 1.4126
Er -1.4768 -2.4193 2.1604
Er -0.7761 -2.9384 -1.8614
Ge 0.9624 -2.3921 0.4765
Ge -5.1288 -2.1853 -0.6116
Ge -0.4465 0.3308 2.5625
Ge 2.0585 -5.1165 1.0191
Ge -2.3978 -1.0217 -0.2859
Ge -0.9550 0.7075 5.4810
Rh 0.0545 -1.3580 4.3957
Rh -2.5824 -0.2826 3.7974
Rh -4.1137 -1.3439 1.5621
Rh -0.3712 -4.5560 0.5234
Rh -3.0081 -3.4806 -0.0748
Rh 1.1601 -3.4947 2.7587
Rh 0.0000 0.0000 0.0000

20
Lattice="-5.1675 1.8529 1.3731 -1.3541 -1.1789 8.1554 0.5803 7.3408 3.9382" Properties=species:S:1:pos:R:3 comment="Er2Ge5Ru3, relaxed, DFT GGA-PBEsol" magnetic_moment_mub_per_fu=0.000 formation_enthalpy_0k_mev_per_atom=-661 pbc="T T T"
Er -3.1464 5.3636 4.2416
Er -2.7948 2.6513 9.2251
Er -1.4556 0.5042 5.5018
Er -4.4856 7.5106 7.9649
Ge -4.2625 4.4706 7.0766
Ge -1.6787 3.5442 6.3901
Ge -5.5516 6.6667 10.9218
Ge -2.9733 2.2746 3.2314
Ge -0.3896 1.3481 2.5449
Ge -2.9679 5.7402 10.2353
Ge -5.7981 2.5618 9.7036
Ge -0.1431 5.4530 3.7631
Ge -1.9683 7.1234 6.3006
Ge -3.9729 0.8914 7.1661
Ru -3.8756 1.3897 1.0298
Ru -1.2919 0.4632 0.3433
Ru -5.0757 4.8072 9.3923
Ru -0.8655 3.2076 4.0744
Ru -2.1437 5.4145 7.9466
Ru -3.7975 2.6003 5.5202

10
Lattice="-0.4024 3.7534 1.8707 -3.5564 3.3927 -2.8280 -7.2677 -1.0487 5.2846" Properties=species:S:1:pos:R:3 comment="Er2Ge2Ru, relaxed, DFT GGA-PBEsol" magnetic_moment_mub_per_fu=0.000 formation_enthalpy_0k_mev_per_atom=-835 pbc="T T T"
Ru -2.7042 4.0040 0.8727
Ru -8.5222 2.0934 3.4547
Ge -1.4069 2.0198 0.3888
Ge -5.2442 3.6403 1.0561
Ge -9.8195 4.0775 3.9386
Ge -5.9822 2.4571 3.2713
Er -6.6135 -0.2822 3.8876
Er -3.7646 1.1089 1.7092
Er -4.6130 6.3796 0.4398
Er -7.4618 4.9884 2.6181

16
Lattice="4.1970 0.0000 0.0000 -2.0985 5.3002 0.0000 0.0000 0.0000 13.6490" Properties=species:S:1:pos:R:3 comment="Er3Ge3Ru2, relaxed, DFT GGA-PBEsol" magnetic_moment_mub_per_fu=0.000 formation_enthalpy_0k_mev_per_atom=-808 pbc="T T T"
Er 0.0000 0.8231 1.5465
Er 2.0985 4.4770 12.1025
Er 0.0000 0.8231 5.2780
Er 2.0985 4.4770 8.3710
Er 0.0000 3.7412 3.4122
Er 2.0985 1.5589 10.2367
Ge 0.0000 4.0875 0.5585
Ge 2.0985 1.2126 13.0905
Ge 0.0000 4.0875 6.2660
Ge 2.0985 1.2126 7.3830
Ge 2.0985 1.7270 3.4122
Ge 0.0000 3.5732 10.2367
Ru 0.0000 2.2655 7.9527
Ru 2.0985 3.0347 5.6963
Ru 0.0000 2.2655 12.5208
Ru 2.0985 3.0347 1.1282

5
Lattice="4.1897 0.0000 0.0000 0.0000 4.1897 0.0000 -2.0949 -2.0949 4.8614" Properties=species:S:1:pos:R:3 comment="ErGe2Ru2, relaxed, DFT GGA-PBEsol" magnetic_moment_mub_per_fu=0.000 formation_enthalpy_0k_mev_per_atom=-639 pbc="T T T"
Ru 2.0949 0.0000 2.4307
Ru 0.0000 2.0949 2.4307
Ge 2.0949 2.0949 1.2478
Ge 0.0000 0.0000 3.6136
Er 0.0000 0.0000 0.0000

12
Lattice="-0.6125 -2.2371 -3.6817 6.6622 -1.7247 -0.0604 -1.4766 -5.8370 3.7923" Properties=species:S:1:pos:R:3 comment="ErGeRu, relaxed, DFT GGA-PBEsol" magnetic_moment_mub_per_fu=0.000 formation_enthalpy_0k_mev_per_atom=-749 pbc="T T T"
Er 2.6819 -3.6816 -2.0663
Er 1.8912 -6.1171 2.1165
Er -0.8222 -3.5029 -1.5920
Er 5.3953 -6.2959 1.6422
Ge -0.4169 -7.2395 0.6110
Ge 4.9900 -2.5592 -0.5609
Ge 3.3351 -6.4382 -0.5000
Ge 1.2380 -3.3605 0.5502
Ru 0.7931 -1.1924 -0.6931
Ru 3.7800 -8.6063 0.7433
Ru 3.5702 -4.2446 0.6994
Ru 1.0029 -5.5541 -0.6492

6
Lattice="-2.1004 2.9376 1.7281 -3.4423 -2.4254 -0.0608 0.1616 -4.0637 7.1043" Properties=species:S:1:pos:R:3 comment="ErSnGe, relaxed, DFT GGA-PBEsol" magnetic_moment_mub_per_fu=0.000 formation_enthalpy_0k_mev_per_atom=-673 pbc="T T T"
Er -4.6643 -0.7572 2.5741
Er -0.7168 -2.7943 6.1974
Sn -2.3715 -0.4102 4.7710
Sn -3.0097 -3.1413 4.0006
Ge -3.3415 -2.7603 7.5869
Ge -2.0396 -0.7912 1.1847

6
Lattice="-1.6962 -1.6090 3.2218 1.0672 -3.6259 -1.2490 6.4848 0.6251 3.7261" Properties=species:S:1:pos:R:3 comment="ErTiGe, relaxed, DFT GGA-PBEsol" magnetic_moment_mub_per_fu=0.006 formation_enthalpy_0k_mev_per_atom=-740 pbc="T T T"
Ge 0.7584 -0.6496 2.5340
Ge 5.4119 -1.3427 2.1785
Er 2.7602 -1.5983 0.6549
Er 3.4101 -0.3940 4.0576
Ti -0.3145 -2.6175 0.9864
Ti 0.0000 0.0000 0.0000

30
Lattice="4.1545 0.0000 0.0000 -2.0773 9.0800 0.0000 0.0000 0.0000 14.9691" Properties=species:S:1:pos:R:3 comment="Er4Zn5Ge6, relaxed, DFT GGA-PBEsol" magnetic_moment_mub_per_fu=0.000 formation_enthalpy_0k_mev_per_atom=-579 pbc="T T T"
Er 2.0773 8.7236 11.4488
Er 0.0000 0.3564 3.9642
Er 2.0773 5.8974 4.7809
Er 0.0000 3.1826 12.2655
Er 2.0773 6.0452 14.3773
Er 0.0000 3.0349 6.8927
Er 2.0773 8.4861 7.4871
Er 0.0000 0.5940 0.0025
Zn 2.0773 2.8151 14.8071
Zn 0.0000 6.2649 7.3225
Zn 2.0773 3.6114 9.5783
Zn 0.0000 5.4686 2.0937
Zn 0.0000 6.3501 11.7094
Zn 2.0773 2.7299 4.2248
Zn 2.0773 6.3340 9.5324
Zn 0.0000 2.7460 2.0478
Zn 2.0773 1.1980 8.6339
Zn 0.0000 7.8820 1.1494
Ge 2.0773 4.9336 7.4570
Ge 0.0000 4.1464 14.9415
Ge 2.0773 1.2603 12.7913
Ge 0.0000 7.8197 5.3067
Ge 2.0773 5.0256 11.6551
Ge 0.0000 4.0544 4.1706
Ge 0.0000 7.9901 13.6043
Ge 2.0773 1.0900 6.1198
Ge 0.0000 7.8755 9.4941
Ge 2.0773 1.2045 2.0096
Ge 2.0773 7.0592 2.2048
Ge 0.0000 2.0208 9.6893